one:
CsSb2N: relaxed, PBE-GGA.

Properties
The mass density is 4.8 g/cm³.

Unit cell a=3.2890 b=5.4110 c=7.7812 alpha=90.00 beta=101.97 gamma=90.00
Sites, in units of the cell vectors:
N: 0.5157 0.5000 0.2335
Sb: 0.0980 0.5000 0.4010
Sb: 0.1833 0.0000 0.5742
Cs: 0.9180 0.0000 0.0530

***

two:
CsSb2N: relaxed, PBE-GGA.

Properties
The mass density is 4.4 g/cm³.

Unit cell a=4.4376 b=5.3326 c=7.3186 alpha=71.36 beta=72.46 gamma=65.55
Sites, in units of the cell vectors:
Cs: 0.2420 0.9092 0.9975
Sb: 0.7791 0.3869 0.4384
Sb: 0.0613 0.6217 0.6403
N: 0.8477 0.0321 0.6622

***

Which of them is the most stable? Correct choice: two.

***

one:
CsSb3N: relaxed, PBE-GGA.

Properties
The mass density is 6.5 g/cm³.

Unit cell a=5.0761 b=5.0761 c=5.0761 alpha=90.00 beta=90.00 gamma=90.00
Sites, in units of the cell vectors:
Sb: 0.0000 0.5000 0.0000
Sb: 0.0000 0.0000 0.5000
Cs: 0.5000 0.5000 0.5000
N: 0.0000 0.0000 0.0000
Sb: 0.5000 0.0000 0.0000

***

two:
CsSb3N: relaxed, PBE-GGA.

Properties
The mass density is 3.6 g/cm³.

Unit cell a=6.2046 b=6.2046 c=6.2046 alpha=90.00 beta=90.00 gamma=90.00
Sites, in units of the cell vectors:
Cs: 0.0000 0.0000 0.0000
Sb: 0.5000 0.0000 0.0000
Sb: 0.0000 0.0000 0.5000
N: 0.5000 0.5000 0.5000
Sb: 0.0000 0.5000 0.0000

***

Which of them is the most stable? Correct choice: one.

***

one:
CsSbTeN2: relaxed, PBE-GGA.

Properties
The mass density is 4.4 g/cm³.

Unit cell a=4.5057 b=4.5057 c=7.6336 alpha=90.00 beta=90.00 gamma=90.00
Each line ends with the local moment (μB).
Sites, in units of the cell vectors:
Te: 0.0000 0.0000 0.5000  -0.03
N: 0.0000 0.5000 0.0000  0.71
Sb: 0.5000 0.5000 0.5000  0.29
N: 0.5000 0.0000 0.0000  0.71
Cs: 0.0000 0.0000 0.0000  0.00

***

two:
CsSbTeN2: relaxed, PBE-GGA.

Properties
The mass density is 4.9 g/cm³.

Unit cell a=4.8325 b=4.8325 c=5.9044 alpha=90.00 beta=90.00 gamma=90.00
Each line ends with the local moment (μB).
Sites, in units of the cell vectors:
Sb: 0.0000 0.0000 0.0000  -0.01
N: 0.5000 0.0000 0.0000  1.05
N: 0.0000 0.5000 0.0000  1.05
Cs: 0.5000 0.5000 0.5000  0.02
Te: 0.0000 0.0000 0.5000  0.24

***

Which of them is the most stable? Correct choice: two.